Ac4Sb2PbSe | the Alexandria database | PBE | optimized geometry; total magnetic moment = 0.0 μB/f.u.; formation energy (no corrections) = -9.663 eV per formula unit; E = -5.192 eV per atom
1.0
4.7435 0.0000 0.0000
0.0001 8.2435 -0.1733
0.0000 2.8907 7.6832
Ac Se Sb Pb
4 1 2 1
direct
0.5000 0.7476 0.2515 Ac
0.0000 0.2514 0.2529 Ac
0.5000 0.2524 0.7485 Ac
0.0000 0.7486 0.7471 Ac
0.0000 0.5000 0.5000 Se
0.0000 0.0000 0.0000 Sb
0.5000 0.0000 0.5000 Sb
0.5000 0.5000 0.0000 Pb

---

AgRh2 | the Alexandria database | PBE | optimized geometry; energy relative to the elements = 440 meV per atom; relative energy among the computed polymorphs = 0.281 eV/atom; total magnetic moment = 0.0 μB/f.u.; E = -5.411 eV per atom
1.0
2.7153 0.0000 0.0000
0.0000 4.5824 0.0000
0.0000 0.0000 16.2794
Rh Ag
8 4
direct
0.5000 0.2500 0.3148 Rh
0.0000 0.2500 0.1852 Rh
0.5000 0.7500 0.5321 Rh
0.5000 0.2500 0.4679 Rh
0.0000 0.7500 0.8148 Rh
0.5000 0.7500 0.6852 Rh
0.0000 0.7500 0.9679 Rh
0.0000 0.2500 0.0321 Rh
0.0000 0.2500 0.6295 Ag
0.5000 0.2500 0.8705 Ag
0.0000 0.7500 0.3705 Ag
0.5000 0.7500 0.1295 Ag

---

LiDy2Pt2 | the Alexandria database | PBE | optimized geometry; energy relative to the elements = -940 meV per atom; relative energy among the computed polymorphs = 0.072 eV/atom; total magnetic moment = 0.0 μB/f.u.; E = -5.580 eV per atom
1.0
-2.6583 2.2213 4.4566
1.9569 -5.7590 4.0377
4.9636 4.3600 -2.7871
Li Dy Pt
2 4 4
direct
0.2500 0.5000 0.0000 Li
0.7500 0.5000 0.0000 Li
0.8548 0.7009 0.7095 Dy
0.3548 0.0086 0.7095 Dy
0.6452 0.9914 0.2905 Dy
0.1452 0.2991 0.2905 Dy
0.1090 0.8756 0.2180 Pt
0.3910 0.6576 0.7820 Pt
0.6090 0.3424 0.2180 Pt
0.8910 0.1244 0.7820 Pt

---

Copy entry 3 word for word.
LiDy2Pt2 | the Alexandria database | PBE | optimized geometry; energy relative to the elements = -940 meV per atom; relative energy among the computed polymorphs = 0.072 eV/atom; total magnetic moment = 0.0 μB/f.u.; E = -5.580 eV per atom
1.0
-2.6583 2.2213 4.4566
1.9569 -5.7590 4.0377
4.9636 4.3600 -2.7871
Li Dy Pt
2 4 4
direct
0.2500 0.5000 0.0000 Li
0.7500 0.5000 0.0000 Li
0.8548 0.7009 0.7095 Dy
0.3548 0.0086 0.7095 Dy
0.6452 0.9914 0.2905 Dy
0.1452 0.2991 0.2905 Dy
0.1090 0.8756 0.2180 Pt
0.3910 0.6576 0.7820 Pt
0.6090 0.3424 0.2180 Pt
0.8910 0.1244 0.7820 Pt